No. 1
MnFeRu2: optimized geometry, PBE.

The formation enthalpy at 0 K is 44 meV/atom. Its total magnetization is 0.1 μB per cell.

The structure belongs to space group I-4m2 (No. 119); the cell edges are 3.6963, 3.6963 and 7.5433 Å and the angles 90.00°, 90.00° and 90.00°. The inequivalent atoms are Mn at (0.0000, 0.0000, 0.0000), Fe at (0.0000, 0.5000, 0.2500), Ru at (0.0000, 0.0000, 0.5000) and Ru at (0.0000, 0.5000, 0.7500).

No. 2
MnFe2SiRu: optimized geometry, PBE.

Its total magnetization is 9.3 μB per cell. The formation energy (no corrections) is 136 kJ per mole of atoms.

The structure belongs to space group P4/mmm (No. 123); the cell edges are 4.5690, 4.5690 and 4.5288 Å and the angles 90.00°, 90.00° and 90.00°. The inequivalent atoms are Mn at (0.0000, 0.0000, 0.0000), Fe at (0.0000, 0.5000, 0.5000), Si at (0.5000, 0.5000, 0.0000) and Ru at (0.0000, 0.0000, 0.5000).

No. 3
SrMn2FeRu: optimized geometry, PBE.

The formation enthalpy at 0 K is 3212 meV/atom. Its total magnetization is 0.4 μB per cell.

The structure belongs to space group P4/mmm (No. 123); the cell edges are 4.4098, 4.4098 and 4.6915 Å and the angles 90.00°, 90.00° and 90.00°. The inequivalent atoms are Sr at (0.0000, 0.0000, 0.0000), Mn at (0.0000, 0.5000, 0.0000), Fe at (0.5000, 0.5000, 0.5000) and Ru at (0.0000, 0.0000, 0.5000).

No. 4
MnFeTcRu: optimized geometry, PBE.

The formation enthalpy at 0 K is 89 meV/atom. Its total magnetization is 23.4 μB per cell.

The structure belongs to space group F-43m (No. 216); the cell edges are 5.9733, 5.9733 and 5.9733 Å and the angles 90.00°, 90.00° and 90.00°. The inequivalent atoms are Mn at (0.0000, 0.0000, 0.0000), Fe at (0.0000, 0.0000, 0.5000), Tc at (0.2500, 0.2500, 0.7500) and Ru at (0.2500, 0.2500, 0.2500).

No. 5
Ti2MnFeRu: optimized geometry, PBE.

The formation enthalpy at 0 K is 648 meV/atom. Its total magnetization is 0.8 μB per cell.

The structure belongs to space group P4/mmm (No. 123); the cell edges are 4.3972, 4.3972 and 4.0294 Å and the angles 90.00°, 90.00° and 90.00°. The inequivalent atoms are Ti at (0.0000, 0.5000, 0.0000), Mn at (0.0000, 0.0000, 0.0000), Fe at (0.0000, 0.0000, 0.5000) and Ru at (0.5000, 0.5000, 0.5000).

No. 6
TiMnFeRu: optimized geometry, PBE.

The formation enthalpy at 0 K is -183 meV/atom. Its total magnetization is 13.3 μB per cell.

The structure belongs to space group F-43m (No. 216); the cell edges are 5.9498, 5.9498 and 5.9498 Å and the angles 90.00°, 90.00° and 90.00°. The inequivalent atoms are Ti at (0.0000, 0.0000, 0.0000), Mn at (0.0000, 0.0000, 0.5000), Fe at (0.2500, 0.2500, 0.7500) and Ru at (0.2500, 0.2500, 0.2500).

No. 7
MnVFeRu: optimized geometry, PBE.

The formation enthalpy at 0 K is -68 meV/atom. Its total magnetization is 15.8 μB per cell.

The structure belongs to space group F-43m (No. 216); the cell edges are 5.8721, 5.8721 and 5.8721 Å and the angles 90.00°, 90.00° and 90.00°. The inequivalent atoms are Mn at (0.0000, 0.0000, 0.0000), V at (0.0000, 0.0000, 0.5000), Fe at (0.2500, 0.2500, 0.7500) and Ru at (0.2500, 0.2500, 0.2500).

No. 8
MnZnFeRu: optimized geometry, PBE.

The formation enthalpy at 0 K is 106 meV/atom. Its total magnetization is 27.3 μB per cell.

The structure belongs to space group F-43m (No. 216); the cell edges are 5.9902, 5.9902 and 5.9902 Å and the angles 90.00°, 90.00° and 90.00°. The inequivalent atoms are Mn at (0.0000, 0.0000, 0.0000), Zn at (0.2500, 0.2500, 0.7500), Fe at (0.2500, 0.2500, 0.2500) and Ru at (0.0000, 0.0000, 0.5000).

No. 9
Zr2MnFeRu: optimized geometry, PBE.

The formation enthalpy at 0 K is 545 meV/atom. Its total magnetization is 1.8 μB per cell.

The structure belongs to space group P4/mmm (No. 123); the cell edges are 4.7992, 4.7992 and 4.0302 Å and the angles 90.00°, 90.00° and 90.00°. The inequivalent atoms are Zr at (0.0000, 0.5000, 0.0000), Mn at (0.0000, 0.0000, 0.5000), Fe at (0.0000, 0.0000, 0.0000) and Ru at (0.5000, 0.5000, 0.5000).

No. 10
MnFe2S: optimized geometry, PBE.

Its total magnetization is 3.0 μB per cell. The formation energy (no corrections) is 51 kJ per mole of atoms.

The structure belongs to space group I-42d (No. 122); the cell edges are 4.9673, 4.9673 and 9.6857 Å and the angles 90.00°, 90.00° and 90.00°. The inequivalent atoms are Mn at (0.0000, 0.0000, 0.0000), Fe at (0.2461, 0.2500, 0.6250) and S at (0.0000, 0.0000, 0.5000).

No. 11
Mn4FeS5: optimized geometry, PBE.

Its total magnetization is 41.8 μB per cell. The formation energy (no corrections) is -39 kJ per mole of atoms.

The structure belongs to space group C2/m (No. 12); the cell edges are 11.8287, 3.5660 and 8.7243 Å and the angles 90.00°, 119.58° and 90.00°. The inequivalent atoms are Mn at (0.1000, 0.0000, 0.3961), Mn at (0.2020, 0.5000, 0.8051), Fe at (0.0000, 0.5000, 0.0000), S at (0.0000, 0.5000, 0.5000), S at (0.0976, 0.0000, 0.9011) and S at (0.1994, 0.5000, 0.2974).

No. 12
MnFeS: optimized geometry, PBE.

Its total magnetization is 20.9 μB per cell. The formation energy (no corrections) is -3 kJ per mole of atoms.

The structure belongs to space group Cmcm (No. 63); the cell edges are 2.9528, 17.7366 and 3.4694 Å and the angles 90.00°, 90.00° and 90.00°. The inequivalent atoms are Mn at (0.0000, 0.1124, 0.2500), Fe at (0.0000, 0.4615, 0.2500) and S at (0.0000, 0.3363, 0.2500).